(1)
First-principles (PBE) data for TaOsPt2 after structural relaxation, as listed in the Alexandria database.

```
data_TaOsPt2
_chemical_formula_sum 'Ta2 Os2 Pt4'
_symmetry_space_group_name_H-M 'I 4/m m m'
_symmetry_Int_Tables_number 139
_symmetry_space_group_name_Hall '-I 4 2'
_cell_length_a 3.908
_cell_length_b 3.908
_cell_length_c 8.188
_cell_angle_alpha 90.00
_cell_angle_beta 90.00
_cell_angle_gamma 90.00
loop_
_atom_site_label
_atom_site_type_symbol
_atom_site_fract_x
_atom_site_fract_y
_atom_site_fract_z
Ta1 Ta 0.000 0.000 0.000
Os1 Os 0.000 0.000 0.500
Pt1 Pt 0.000 0.500 0.250
```

Output
ρ	20.22	g cm⁻³
ΔE_f	-0.4107	eV per atom
energy	-9.2017	eV per atom
N(E_F)	1.064	states/eV per atom
M_tot	0.0000	μB/atom
ΔE to the lowest computed polymorph	0.0848	eV per atom

(2)
First-principles (PBE) data for TaOsPt2 after structural relaxation, as listed in the Alexandria database.

```
data_TaOsPt2
_chemical_formula_sum 'Ta2 Os2 Pt4'
_symmetry_space_group_name_H-M 'I -4 m 2'
_symmetry_Int_Tables_number 119
_symmetry_space_group_name_Hall 'I -4 -2'
_cell_length_a 4.001
_cell_length_b 4.001
_cell_length_c 7.841
_cell_angle_alpha 90.00
_cell_angle_beta 90.00
_cell_angle_gamma 90.00
loop_
_atom_site_label
_atom_site_type_symbol
_atom_site_fract_x
_atom_site_fract_y
_atom_site_fract_z
Ta1 Ta 0.000 0.000 0.000
Os1 Os 0.000 0.500 0.750
Pt1 Pt 0.000 0.000 0.500
Pt2 Pt 0.000 0.500 0.250
```

Output
ρ	20.14	g cm⁻³
ΔE_f	-0.3939	eV per atom
energy	-9.1848	eV per atom
N(E_F)	1.150	states/eV per atom
M_tot	0.0000	μB/atom
ΔE to the lowest computed polymorph	0.1016	eV per atom